No. 1
Material: LaBeO2F
Method: DFT, PBEsol
State: optimized geometry

The structure in CIF format:
```
data_LaBeO2F
_chemical_formula_sum 'La1 Be1 O2 F1'
_symmetry_space_group_name_H-M 'P 4/m m m'
_symmetry_Int_Tables_number 123
_symmetry_space_group_name_Hall '-P 4 2'
_cell_length_a 4.493
_cell_length_b 4.493
_cell_length_c 2.938
_cell_angle_alpha 90.00
_cell_angle_beta 90.00
_cell_angle_gamma 90.00
loop_
_atom_site_label
_atom_site_type_symbol
_atom_site_fract_x
_atom_site_fract_y
_atom_site_fract_z
La1 La 0.000 0.000 0.000
Be1 Be 0.500 0.500 0.000
O1 O 0.000 0.500 0.500
F1 F 0.500 0.500 0.500
```

***

No. 2
Material: LiBe2F
Method: DFT, PBEsol
State: optimized geometry

The structure in CIF format:
```
data_LiBe2F
_chemical_formula_sum 'Li4 Be8 F4'
_symmetry_space_group_name_H-M 'F m -3 m'
_symmetry_Int_Tables_number 225
_symmetry_space_group_name_Hall '-F 4 2 3'
_cell_length_a 5.855
_cell_length_b 5.855
_cell_length_c 5.855
_cell_angle_alpha 90.00
_cell_angle_beta 90.00
_cell_angle_gamma 90.00
loop_
_atom_site_label
_atom_site_type_symbol
_atom_site_fract_x
_atom_site_fract_y
_atom_site_fract_z
Li1 Li 0.000 0.000 0.000
Be1 Be 0.250 0.250 0.250
F1 F 0.000 0.000 0.500
```

***

For the records above, the corresponding energy relative to the elements, uncorrected values read -1.67, 0.46 eV/atom.